Entry 1:
Here is a relaxed Sr2SmPaS6 crystal from Alexandria via LeMat-Bulk. Energies are from PBE.

Cell and atoms, written as POSCAR:
```
Sr2SmPaS6
1.0
-3.618 2.030 -5.664
-5.492 -4.808 1.785
-4.601 7.299 5.508
Sr Pa S Sm
4 2 12 2
Cartesian
-5.159 0.752 -0.555 Sr
-7.399 7.053 -1.241 Sr
-6.312 -2.532 2.869 Sr
-8.552 3.769 2.183 Sr
-2.746 -2.404 0.892 Pa
-4.110 4.664 -0.078 Pa
-10.053 1.587 3.654 S
-3.658 2.934 -2.025 S
-5.160 -2.249 -0.145 S
-6.707 4.089 -0.218 S
-7.004 0.431 1.846 S
-2.079 -0.122 -0.308 S
-3.769 2.693 1.633 S
-11.632 4.642 1.936 S
-7.276 0.953 -2.675 S
-8.551 6.769 1.773 S
-9.942 1.827 -0.004 S
-6.435 3.567 4.303 S
-1.809 1.015 -2.832 Sm
-5.047 1.245 3.646 Sm
```

Formation energy (no corrections)   -1.945 eV/atom
Electronic total energy   -0.45419 Ry per atom

---

Entry 2:
Here is a relaxed NdTm2ThP4 crystal from Alexandria via LeMat-Bulk. Energies are from PBE.

Cell and atoms, written as POSCAR:
```
NdTm2ThP4
1.0
-1.670 1.426 3.416
2.550 -5.471 3.531
6.391 1.572 2.468
P Nd Tm Th
4 1 2 1
Cartesian
4.581 0.591 4.406 P
6.697 -3.000 4.526 P
2.691 -3.065 5.008 P
0.575 0.526 4.889 P
6.832 -0.451 5.941 Nd
6.391 1.572 2.468 Tm
2.361 1.499 2.942 Tm
4.471 -1.950 2.999 Th
```

Calculated formation energy   -1.5850 eV per atom
Electronic total energy   -0.50944 Ry per atom

---

Entry 3:
Here is a relaxed Sc2CrB crystal from Alexandria via LeMat-Bulk. Energies are from PBE.

Cell and atoms, written as POSCAR:
```
Sc2CrB
1.0
-5.003 -6.344 4.543
-2.845 -8.168 3.333
-2.308 -6.697 5.979
Cr B Sc
1 1 2
Cartesian
-5.078 -10.605 6.927 Cr
0.000 0.000 0.000 B
-0.890 -1.859 1.215 Sc
-9.265 -19.351 12.640 Sc
```

Calculated formation energy   1.0731 eV per atom
Electronic total energy   -0.45333 Ry per atom

---

Entry 4:
Here is a relaxed BaMg6Mo crystal from Alexandria via LeMat-Bulk. Energies are from PBE.

Cell and atoms, written as POSCAR:
```
BaMg6Mo
1.0
6.961 0.000 0.000
0.000 6.961 0.000
0.000 0.000 4.099
Mg Mo Ba
6 1 1
Cartesian
2.034 2.034 0.000 Mg
3.480 0.000 2.050 Mg
4.927 2.034 0.000 Mg
0.000 3.480 2.050 Mg
2.034 4.927 0.000 Mg
4.927 4.927 0.000 Mg
3.480 3.480 2.050 Mo
0.000 0.000 2.050 Ba
```

E above lowest polymorph   0.00 eV/f.u.
Calculated formation energy   0.2575 eV per atom
Electronic total energy   -0.18615 Ry per atom

---

Entry 5:
Here is a relaxed CeSm4Y10 crystal from Alexandria via LeMat-Bulk. Energies are from PBE.

Cell and atoms, written as POSCAR:
```
CeSm4Y10
1.0
-7.725 -0.895 1.839
-2.645 -8.214 2.254
-2.224 1.123 8.564
Y Sm Ce
10 4 1
Cartesian
-4.365 -3.769 5.869 Y
-1.669 -1.547 2.401 Y
-4.819 -6.540 4.102 Y
-4.871 -1.918 3.163 Y
-7.722 -6.068 9.495 Y
-4.572 -1.075 7.794 Y
-10.924 -6.439 10.257 Y
-7.775 -1.446 8.556 Y
-8.021 -6.911 4.864 Y
-8.228 -4.217 6.789 Y
-9.397 -3.293 11.008 Sm
-5.612 -7.803 7.353 Sm
-3.197 -4.693 1.650 Sm
-6.982 -0.183 5.305 Sm
0.000 0.000 0.000 Ce
```

Calculated formation energy   0.2655 eV per atom
Electronic total energy   -0.41879 Ry per atom

---

Entry 6:
Here is a relaxed YTl2OsO8 crystal from Alexandria via LeMat-Bulk. Energies are from PBE.

Cell and atoms, written as POSCAR:
```
YTl2OsO8
1.0
-5.005 -0.112 0.961
1.073 -0.782 4.908
0.053 6.641 1.047
O Tl Os Y
8 2 1 1
Cartesian
-1.181 3.050 2.299 O
-3.926 1.155 1.890 O
-2.862 -0.655 4.298 O
-3.895 5.022 2.499 O
-1.070 -0.239 1.571 O
0.016 0.725 4.417 O
0.047 4.592 5.027 O
-2.698 2.697 4.618 O
-1.953 1.206 3.195 Tl
-1.926 4.540 3.721 Tl
0.000 0.000 0.000 Os
0.027 3.320 0.524 Y
```

Formation energy (no corrections)   -1.277 eV/atom
Electronic total energy   -0.47416 Ry per atom

---

Entry 7:
Here is a relaxed CrTcBiP2 crystal from Alexandria via LeMat-Bulk. Energies are from PBE.

Cell and atoms, written as POSCAR:
```
CrTcBiP2
1.0
-0.951 2.964 4.161
2.859 -2.922 2.735
4.119 2.948 -1.158
P Bi Tc Cr
2 1 1 1
Cartesian
2.060 1.474 -0.579 P
-0.476 1.482 2.080 P
0.000 0.000 0.000 Bi
3.014 1.495 2.869 Tc
1.430 -1.461 1.367 Cr
```

Calculated formation energy   2.3392 eV per atom
Electronic total energy   -0.33801 Ry per atom

---

Entry 8:
Here is a relaxed AlPbS2 crystal from Alexandria via LeMat-Bulk. Energies are from PBE.

Cell and atoms, written as POSCAR:
```
AlPbS2
1.0
3.166 -1.828 0.000
0.000 3.656 0.000
0.000 0.000 8.774
Al S Pb
1 2 1
Cartesian
1.055 1.828 4.065 Al
1.055 1.828 6.247 S
2.111 0.000 3.045 S
0.000 0.000 8.184 Pb
```

Formation energy (no corrections)   -0.624 eV/atom
Electronic total energy   -0.33442 Ry per atom

---

Entry 9:
Here is a relaxed TaTeBr2 crystal from Alexandria via LeMat-Bulk. Energies are from PBE.

Cell and atoms, written as POSCAR:
```
TaTeBr2
1.0
11.129 -0.004 -0.002
10.647 3.242 -0.002
10.647 1.583 2.829
Br Ta Te
2 1 1
Cartesian
0.831 0.124 0.072 Br
15.380 2.287 1.340 Br
24.317 3.616 2.118 Ta
8.106 1.205 0.706 Te
```

Formation energy (no corrections)   -0.223 eV/atom
E above lowest polymorph   0.86 eV/f.u.
Electronic total energy   -0.35340 Ry per atom

---

Entry 10:
Here is a relaxed Rb2MnWAu crystal from Alexandria via LeMat-Bulk. Energies are from PBE.

Cell and atoms, written as POSCAR:
```
Rb2MnWAu
1.0
-1.986 3.342 -5.365
-1.625 -3.587 -1.633
-5.794 1.284 2.944
Au Rb W Mn
1 2 1 1
Cartesian
-4.702 0.519 -2.027 Au
-2.897 0.642 1.472 Rb
-0.993 1.671 -2.682 Rb
-0.812 -1.794 -0.816 W
0.000 0.000 0.000 Mn
```

Calculated formation energy   1.4645 eV per atom
Electronic total energy   -0.29418 Ry per atom

---

Entry 11:
Here is a relaxed Rb4La3PuTe8 crystal from Alexandria via LeMat-Bulk. Energies are from PBE.

Cell and atoms, written as POSCAR:
```
Rb4La3PuTe8
1.0
-6.830 6.238 1.944
-4.800 -6.979 5.529
8.976 1.979 2.206
Te La Rb Pu
8 3 4 1
Cartesian
3.766 -1.540 6.483 Te
-1.854 3.785 4.319 Te
-6.421 2.778 3.196 Te
-0.801 -2.547 5.360 Te
0.291 1.634 7.471 Te
-4.188 0.588 6.381 Te
-2.946 -0.396 2.207 Te
1.533 0.650 3.298 Te
2.088 -2.500 3.868 La
-1.327 0.619 4.839 La
-5.815 -0.371 3.737 La
1.073 4.109 2.075 Rb
0.000 0.000 0.000 Rb
-3.415 3.119 0.972 Rb
4.488 0.990 1.103 Rb
-2.400 -3.490 2.765 Pu
```

Formation energy (no corrections)   -1.385 eV/atom
Electronic total energy   -0.36874 Ry per atom

---

Entry 12:
Here is a relaxed NdCd3Pd crystal from Alexandria via LeMat-Bulk. Energies are from PBE.

Cell and atoms, written as POSCAR:
```
NdCd3Pd
1.0
-2.883 3.184 -5.494
-1.087 -5.228 -2.459
-5.074 -0.048 2.346
Pd Cd Nd
2 6 2
Cartesian
-4.395 -0.872 -6.743 Pd
-4.649 -1.220 1.135 Pd
-7.485 -3.033 -4.231 Cd
-2.093 -1.624 -2.583 Cd
-6.952 -0.469 -3.025 Cd
-1.560 0.940 -1.377 Cd
-4.631 -2.012 -4.216 Cd
-4.414 -0.080 -1.392 Cd
-4.481 -3.529 -1.058 Nd
-4.563 1.437 -4.550 Nd
```

E above lowest polymorph   0.00 eV/f.u.
Calculated formation energy   -0.4310 eV per atom
Electronic total energy   -0.21845 Ry per atom

---

Entry 13:
Here is a relaxed RbBi2Te2 crystal from Alexandria via LeMat-Bulk. Energies are from PBE.

Cell and atoms, written as POSCAR:
```
RbBi2Te2
1.0
-2.954 2.547 2.759
-2.850 0.764 -3.757
-7.065 -5.104 1.284
Bi Rb Te
2 1 2
Cartesian
-6.461 -0.451 1.772 Bi
-6.409 -1.342 -1.486 Bi
0.000 0.000 0.000 Rb
-3.673 0.403 -0.169 Te
-9.196 -2.196 0.454 Te
```

Formation energy (no corrections)   -0.232 eV/atom
E above lowest polymorph   0.43 eV/f.u.
Electronic total energy   -0.23773 Ry per atom

---

Number 1: density of states at the Fermi level 0.0000 states/eV/atom, calculated volume 27.0 A^3/atom. Number 2: density of states at the Fermi level 0.1875 states/eV/atom, calculated volume 23.5 A^3/atom. Number 3: density of states at the Fermi level 0.8911 states/eV/atom, calculated volume 18.6 A^3/atom. Number 4: density of states at the Fermi level 0.9619 states/eV/atom, calculated volume 24.8 A^3/atom. Number 5: density of states at the Fermi level 1.4556 states/eV/atom, calculated volume 33.9 A^3/atom. Number 6: density of states at the Fermi level 0.3076 states/eV/atom, calculated volume 14.5 A^3/atom. Number 7: density of states at the Fermi level 1.4371 states/eV/atom, calculated volume 26.6 A^3/atom. Number 8: density of states at the Fermi level 0.2180 states/eV/atom, calculated volume 25.4 A^3/atom. Number 9: density of states at the Fermi level 1.0444 states/eV/atom, calculated volume 25.6 A^3/atom. Number 10: density of states at the Fermi level 0.8336 states/eV/atom, calculated volume 37.4 A^3/atom. Number 11: density of states at the Fermi level 0.9082 states/eV/atom, calculated volume 41.2 A^3/atom. Number 12: density of states at the Fermi level 0.4412 states/eV/atom, calculated volume 22.9 A^3/atom. Number 13: density of states at the Fermi level 0.5658 states/eV/atom, calculated volume 37.1 A^3/atom.